# Cs2WSeF6

Cs2WSeF6 after structural relaxation (PBE with a Hubbard U, the Alexandria database).

Cell: 7.254 7.254 10.373 Å, 90.00 90.00 90.00°
Space group I4/mmm (No. 139)
Unique sites:
Cs: 0.000 0.500 0.250 (multiplicity 4)
W: 0.000 0.000 0.000 (multiplicity 2)
Se: 0.000 0.000 0.500 (multiplicity 2)
F: 0.000 0.000 0.184 (multiplicity 4)
F: 0.191 0.191 0.000 (multiplicity 8)

Summary:
Density of states at the Fermi level, states/eV/atom: 1.13
Electronic total energy, eV per cell: -91.79